Entry a
A relaxed structure of LiSbSeN2. Source: the Alexandria database, functional PBE.

Properties
- density of states at the Fermi level (states/eV per cell) = 0.9

POSCAR file:
```
LiSbSeN2
1.0
4.1059 0.0000 0.0000
0.0000 4.1059 0.0000
0.0000 0.0000 4.7986
Sb Li Se N
1 1 1 2
Direct
0.5000 0.5000 0.5000
0.0000 0.0000 0.0000
0.0000 0.0000 0.5000
0.0000 0.5000 0.0000
0.5000 0.0000 0.0000
```

Entry b
A relaxed structure of LiSbSeN2. Source: the Alexandria database, functional PBE.

Properties
- density of states at the Fermi level (states/eV per cell) = 2.8

POSCAR file:
```
LiSbSeN2
1.0
-1.5808 3.5462 -1.2988
-3.2647 -0.5753 2.4026
2.5627 2.6501 4.1168
Sb Li Se N
1 1 1 2
Direct
0.0000 0.0000 0.0000
0.5000 0.5000 0.5000
0.0000 0.0000 0.5000
0.0000 0.5000 0.0000
0.5000 0.0000 0.0000
```

Which structure is the most stable? The one labeled entry b.

Entry a
A relaxed structure of LiSbTeN2. Source: the Alexandria database, functional PBE.

Properties
- density of states at the Fermi level (states/eV per cell) = 4.1

POSCAR file:
```
LiSbTeN2
1.0
4.1232 0.0000 0.0000
0.0000 4.1232 0.0000
0.0000 0.0000 4.9100
Sb Te Li N
1 1 1 2
Direct
0.5000 0.5000 0.5000
0.0000 0.0000 0.5000
0.0000 0.0000 0.0000
0.0000 0.5000 0.0000
0.5000 0.0000 0.0000
```

Entry b
A relaxed structure of LiSbTeN2. Source: the Alexandria database, functional PBE.

Properties
- density of states at the Fermi level (states/eV per cell) = 3.6

POSCAR file:
```
LiSbTeN2
1.0
4.1001 0.0000 0.0000
0.0000 4.1001 0.0000
0.0000 0.0000 6.0812
Sb Te Li N
1 1 1 2
Direct
0.0000 0.0000 0.0000
0.0000 0.0000 0.5000
0.5000 0.5000 0.5000
0.0000 0.5000 0.0000
0.5000 0.0000 0.0000
```

Which structure is the most stable? The one labeled entry b.